Record 1
# LaSiHg2

A geometry-optimized LaSiHg2 structure (PBE-GGA, the Alexandria database).

## Properties
Uncorrected energy   -3.034 eV/atom

a b c (Å): 4.5312 4.5312 17.1160
angles (deg): 90.00 90.00 120.00
Space group R3m (No. 160, hexagonal axes)
Unique sites:
La 0.0000 0.0000 0.0000
Si 0.0000 0.0000 0.2328
Hg 0.0000 0.0000 0.5323
Hg 0.0000 0.0000 0.7730



Record 2
# CeSm2DyTh

A geometry-optimized CeSm2DyTh structure (PBE-GGA, the Alexandria database).

## Properties
Uncorrected energy   -5.095 eV/atom

a b c (Å): 8.925 6.270 6.438
angles (deg): 90.00 107.10 90.00
Space group P2/c (No. 13)
Unique sites:
Ce 0.000 0.162 0.250
Sm 0.183 0.315 0.838
Dy 0.500 0.488 0.250
Th 0.500 0.000 0.000



Record 3
# Al2Tc2Mo

A geometry-optimized Al2Tc2Mo structure (PBE-GGA, the Alexandria database).

## Properties
Uncorrected energy   -7.756 eV/atom
Energy above the lowest structure with this stoichiometry   143 meV per atom

a b c (Å): 6.872 6.872 3.247
angles (deg): 90.00 90.00 90.00
Space group P4/mbm (No. 127)
Unique sites:
Al 0.146 0.354 0.000
Tc 0.153 0.653 0.500
Mo 0.000 0.000 0.500



Record 4
# KNpB2F8

A geometry-optimized KNpB2F8 structure (PBE-GGA, the Alexandria database).

## Properties
Uncorrected energy   -6.148 eV/atom

a b c (Å): 4.6162 4.6162 29.4400
angles (deg): 90.00 90.00 120.00
Space group R-3 (No. 148, hexagonal axes)
Unique sites:
K 0.0000 0.0000 0.0000
Np 0.0000 0.0000 0.5000
B 0.0000 0.0000 0.2571
F 0.0000 0.0000 0.3060
F 0.0243 0.7223 0.2424



Record 5
# Sr2SnHgH

A geometry-optimized Sr2SnHgH structure (PBE-GGA, the Alexandria database).

## Properties
Uncorrected energy   -2.648 eV/atom
Energy above the lowest structure with this stoichiometry   0 meV per atom

a b c (Å): 5.151 5.151 4.831
angles (deg): 90.00 90.00 90.00
Space group P4/mmm (No. 123)
Unique sites:
Sr 0.000 0.500 0.000
Sn 0.000 0.000 0.500
Hg 0.500 0.500 0.500
H 0.500 0.500 0.000



Record 6
# CsMgCu3

A geometry-optimized CsMgCu3 structure (PBE-GGA, the Alexandria database).

## Properties
Uncorrected energy   -2.308 eV/atom
Energy above the lowest structure with this stoichiometry   0 meV per atom

a b c (Å): 5.133 5.133 5.133
angles (deg): 90.00 90.00 90.00
Space group Pm-3m (No. 221)
Unique sites:
Cs 0.000 0.000 0.000
Mg 0.500 0.500 0.500
Cu 0.000 0.500 0.500